Ni3PS after structural relaxation. Source: Alexandria via LeMat-Bulk, functional PBE.

a = 11.416 Å, b = 8.076 Å, c = 5.552 Å
α = 90.00°, β = 90.00°, γ = 90.00°
Space group Cmcm (No. 63)
One atom of each set of equivalent atoms:
Ni1 0.111 0.167 0.026 (multiplicity 16)
Ni2 0.113 0.500 0.000 (multiplicity 8)
P1 0.000 0.031 0.750 (multiplicity 4)
P2 0.000 0.352 0.250 (multiplicity 4)
S1 0.213 0.336 0.750 (multiplicity 8)

Summary:
The formation energy without anion corrections is -0.335 eV/atom. The value obtained for the energy above the lowest structure with this stoichiometry is 67 meV per atom.